No. 1
An optimized crystal structure of Nd2Zn3Cd, computed with PBE.

a b c (Å): 9.4192 8.9118 5.9272
angles (deg): 75.85 66.55 37.60
Last column: nearest neighbours and their distance in Å.
Positions (direct):
Nd 0.2500 0.2500 0.2500  4 Cd 3.26, 8 Zn 3.29, 2 Nd 3.59
Nd 0.2495 0.7505 0.7505  10 Zn 3.20-3.29, 2 Cd 3.26
Nd 0.7505 0.2495 0.2495  10 Zn 3.20-3.29, 2 Cd 3.26
Nd 0.7500 0.7500 0.7500  4 Cd 3.26, 8 Zn 3.29, 2 Nd 3.59
Zn 0.1624 0.1624 0.8376  2 Zn 2.65, 1 Cd 2.79
Zn 0.1625 0.6750 0.3250  2 Zn 2.65, 1 Cd 2.79
Zn 0.3250 0.8375 0.1625  2 Zn 2.65, 1 Cd 2.79
Zn 0.6750 0.1625 0.8375  2 Zn 2.65, 1 Cd 2.79
Zn 0.8375 0.3250 0.6750  2 Zn 2.65, 1 Cd 2.79
Zn 0.8376 0.8376 0.1624  2 Zn 2.65, 1 Cd 2.79
Cd 0.3335 0.3335 0.6665  3 Zn 2.79
Cd 0.6665 0.6665 0.3335  3 Zn 2.79

Energy of formation from the pure elements, meV/atom: -323.1
Energy above the lowest structure with this stoichiometry, meV per atom: 0.0
Space group: Fmmm (69)
Calculated density, Mg/m³: 7.2

=====

No. 2
An optimized crystal structure of AcPuCl, computed with PBE.

a b c (Å): 3.9177 3.9183 12.9247
angles (deg): 81.99 82.12 67.17
Last column: nearest neighbours and their distance in Å.
Positions (direct):
Ac 0.0725 0.0754 0.2851  3 Cl 3.01-3.04, 1 Pu 3.33
Ac 0.9275 0.9246 0.7149  3 Cl 3.01-3.04, 1 Pu 3.33
Pu 0.3247 0.3248 0.4891  3 Pu 2.35-2.37
Pu 0.6753 0.6752 0.5109  3 Pu 2.35-2.37
Cl 0.2360 0.2316 0.8646  3 Ac 3.01-3.04
Cl 0.7640 0.7684 0.1354  3 Ac 3.01-3.04

Space group: P-1 (2)
Calculated density, Mg/m³: 9.3
Formation energy (no corrections), kJ per mole of atoms: -80.0

=====

Question: Among the records above, which one has the lowest calculated density?
Answer: Nd2Zn3Cd

=====

Question: calculated density of number 2 (AcPuCl)?
Answer: 9.3 Mg/m³